{
  "formula": "LaNd8Mg2",
  "functional": "PBE",
  "state": "relaxed",
  "formation_enthalpy_0k_ev_per_atom": 0.008,
  "dos_ef_per_ev_atom": 1.42,
  "space_group": "C2/m (12)",
  "dft_energy_ev_per_fu": -46.17,
  "lattice": [[5.173, 0.000, -1.487], [-0.899, 7.837, -3.127], [-0.176, 0.040, 9.128]],
  "species": ["La", "Nd", "Nd", "Nd", "Nd", "Nd", "Nd", "Nd", "Nd", "Mg", "Mg"],
  "fractional_positions": [[0.500, 0.000, 0.000], [0.599, 0.469, 0.198], [0.314, 0.051, 0.627], [0.147, 0.204, 0.295], [0.051, 0.735, 0.102], [0.853, 0.796, 0.705], [0.686, 0.949, 0.373], [0.401, 0.531, 0.802], [0.949, 0.265, 0.898], [0.226, 0.631, 0.451], [0.774, 0.369, 0.549]]
}